Arrangement A

Ta2Se2S PBE relaxed; symmetry = No. 139
1.0
-2.281 2.281 4.965
2.281 -2.281 4.965
2.281 2.281 -4.965
Ta Se S
2 2 1
Cartesian
2.281 0.000 2.482
0.000 2.281 2.482
0.000 0.000 1.368
0.000 0.000 8.561
0.000 0.000 4.965

=====

Arrangement B

Ta2Se2S PBE relaxed; symmetry = No. 62
1.0
7.275 0.000 0.000
0.000 5.078 0.000
0.000 0.000 10.860
Ta Se S
8 8 4
Cartesian
1.072 1.270 2.669
1.523 1.270 6.271
2.115 3.809 0.841
2.566 3.809 8.099
4.710 1.270 2.760
5.161 1.270 10.019
5.752 3.809 4.589
6.203 3.809 8.190
0.695 3.809 2.954
0.740 3.809 6.136
2.898 1.270 0.706
2.942 1.270 8.384
4.333 3.809 2.476
4.377 3.809 10.154
6.536 1.270 4.724
6.580 1.270 7.906
0.689 3.809 9.872
2.949 1.270 4.442
4.326 3.809 6.418
6.587 1.270 0.988

=====

Arrangement C

Ta2Se2S PBE relaxed; symmetry = No. 127
1.0
7.508 0.000 0.000
0.000 7.508 0.000
0.000 0.000 3.146
Ta Se S
4 4 2
Cartesian
1.213 2.541 0.000
2.541 6.295 0.000
4.967 1.213 0.000
6.295 4.967 0.000
1.006 4.760 1.573
2.748 1.006 1.573
4.760 6.502 1.573
6.502 2.748 1.573
0.000 0.000 1.573
3.754 3.754 1.573

=====

arrangement B comes first in stability; the runner-up is 533 meV per atom higher.

=====

Arrangement A

TaSe3S PBE relaxed; symmetry = No. 221
1.0
4.698 0.000 0.000
0.000 4.698 0.000
0.000 0.000 4.698
Ta Se S
1 3 1
Cartesian
0.000 0.000 0.000
0.000 2.349 2.349
2.349 0.000 2.349
2.349 2.349 0.000
2.349 2.349 2.349

=====

Arrangement B

TaSe3S PBE relaxed; symmetry = No. 221
1.0
5.026 0.000 0.000
0.000 5.026 0.000
0.000 0.000 5.026
Ta Se S
1 3 1
Cartesian
0.000 0.000 0.000
0.000 0.000 2.513
0.000 2.513 0.000
2.513 0.000 0.000
2.513 2.513 2.513

=====

arrangement B comes first in stability; the runner-up is 643 meV per atom higher.